Computed, not measured: a geometry-optimized CoNiAs structure at the PBEsol level of DFT.

Values from the calculation:
* crystal system: trigonal
* SG: P3m1
* E_tot: -6.44 eV/atom
* density of states at the Fermi level: 2.34 states/eV/f.u.
* formation energy: -0.108 eV per atom

Cell: 3.8053 3.8053 2.8307 Å, 90.00 90.00 120.00°
Fractional positions:
Co: 0.0000 0.0000 0.0000
Ni: 0.3333 0.6667 0.4916
As: 0.6667 0.3333 0.7918



Computed, not measured: a geometry-optimized CoNiAs2 structure at the PBEsol level of DFT.

Values from the calculation:
* crystal system: tetragonal
* excess energy over the best structure of this formula in the dataset: 0.189 eV/atom
* SG: P4mm
* E_tot: -6.17 eV/atom
* density of states at the Fermi level: 3.25 states/eV/f.u.
* formation energy: -0.140 eV per atom

Cell: 3.2766 3.2766 4.9085 Å, 90.00 90.00 90.00°
Fractional positions:
Co: 0.0000 0.0000 0.0000
Ni: 0.5000 0.5000 0.3331
As: 0.0000 0.0000 0.4768
As: 0.5000 0.5000 0.8564



Computed, not measured: a geometry-optimized CoNiAs2 structure at the PBEsol level of DFT.

Values from the calculation:
* crystal system: tetragonal
* excess energy over the best structure of this formula in the dataset: 0.425 eV/atom
* SG: I-42d
* E_tot: -5.93 eV/atom
* density of states at the Fermi level: 2.54 states/eV/f.u.
* formation energy: 0.097 eV per atom

Cell: 5.9867 5.9867 5.9867 Å, 125.44 125.44 80.82°
Fractional positions:
Co: 0.0000 0.0000 0.0000
Co: 0.7500 0.2500 0.5000
Ni: 0.2500 0.7500 0.5000
Ni: 0.5000 0.5000 0.0000
As: 0.1187 0.1250 0.4937
As: 0.3750 0.8813 0.0063
As: 0.6313 0.6250 0.5063
As: 0.8750 0.3687 0.9937



Computed, not measured: a geometry-optimized CoNiAs2 structure at the PBEsol level of DFT.

Values from the calculation:
* crystal system: monoclinic
* excess energy over the best structure of this formula in the dataset: 0.207 eV/atom
* SG: Pm
* E_tot: -6.15 eV/atom
* density of states at the Fermi level: 2.86 states/eV/f.u.
* formation energy: -0.122 eV per atom

Cell: 3.1286 4.5323 4.3334 Å, 90.00 111.13 90.00°
Fractional positions:
Co: 0.0000 0.0000 0.0000
Ni: 0.6030 0.5000 0.1949
As: 0.7023 0.0000 0.4055
As: 0.8980 0.5000 0.7850



Computed, not measured: a geometry-optimized CoNiAs2 structure at the PBEsol level of DFT.

Values from the calculation:
* crystal system: trigonal
* excess energy over the best structure of this formula in the dataset: 0.000 eV/atom
* SG: P-3m1
* E_tot: -6.36 eV/atom
* density of states at the Fermi level: 2.51 states/eV/f.u.
* formation energy: -0.328 eV per atom

Cell: 3.5590 3.5590 4.9346 Å, 90.00 90.00 120.00°
Fractional positions:
Co: 0.0000 0.0000 0.0000
Ni: 0.0000 0.0000 0.5000
As: 0.3333 0.6667 0.2404
As: 0.6667 0.3333 0.7596



Computed, not measured: a geometry-optimized CoNiAs structure at the PBEsol level of DFT.

Values from the calculation:
* crystal system: hexagonal
* SG: P-62m
* E_tot: -6.56 eV/atom
* density of states at the Fermi level: 2.68 states/eV/f.u.
* formation energy: -0.223 eV per atom

Cell: 6.0216 6.0216 3.3525 Å, 90.00 90.00 120.00°
Fractional positions:
Co: 0.0000 0.6068 0.0000
Co: 0.3932 0.3932 0.0000
Co: 0.6068 0.0000 0.0000
Ni: 0.0000 0.2614 0.5000
Ni: 0.2614 0.0000 0.5000
Ni: 0.7386 0.7386 0.5000
As: 0.0000 0.0000 0.0000
As: 0.3333 0.6667 0.5000
As: 0.6667 0.3333 0.5000